Entry from Alexandria: an optimized crystal structure of NiSbRh2 (PBE).

Lattice parameters (Å, degrees): 3.9723 3.9724 3.7629 90.00 90.00 90.00
Closest atoms and distances in Å follow each position.
Positions (direct):
Rh 0.0000 0.0000 0.0000  4 Sb 2.74, 4 Ni 2.74, 4 Rh 2.81
Sb 0.5000 0.0000 0.5000  8 Rh 2.74, 4 Ni 2.81
Rh 0.5000 0.5000 0.0000  4 Ni 2.74, 4 Sb 2.74, 4 Rh 2.81
Ni 0.0000 0.5000 0.5000  8 Rh 2.74, 4 Sb 2.81

Results
Electronic total energy: -6.3832 eV per atom
Total magnetization: 0.31 μB per cell
Formation energy (no corrections): -232 meV per atom

***

Entry from Alexandria: an optimized crystal structure of NiSb8Rh2 (PBE).

Lattice parameters (Å, degrees): 5.2590 8.9167 7.9555 133.34 90.13 80.45
Closest atoms and distances in Å follow each position.
Positions (direct):
Rh 0.8146 0.5779 0.1873  7 Sb 2.70-2.90, 1 Rh 2.84
Sb 0.2253 0.1047 0.3437  1 Ni 2.57, 1 Rh 2.70
Sb 0.3530 0.6481 0.7428  1 Ni 2.60, 1 Rh 2.70
Sb 0.2788 0.7183 0.2641  3 Rh 2.74-2.80, 1 Sb 3.01
Rh 0.1854 0.4221 0.8127  7 Sb 2.70-2.90, 1 Rh 2.84
Sb 0.2302 0.2044 0.9485  1 Ni 2.59, 2 Rh 2.78-2.90
Sb 0.7747 0.8953 0.6563  1 Ni 2.57, 1 Rh 2.70
Sb 0.6470 0.3519 0.2572  1 Ni 2.60, 1 Rh 2.70
Sb 0.7212 0.2817 0.7359  3 Rh 2.74-2.80, 1 Sb 3.01
Sb 0.7698 0.7956 0.0514  1 Ni 2.59, 2 Rh 2.78-2.90
Ni 0.0000 0.0000 0.0000  6 Sb 2.57-2.60

Results
Electronic total energy: -5.0277 eV per atom
Total magnetization: 0.00 μB per cell
Formation energy (no corrections): -167 meV per atom

***

Entry from Alexandria: an optimized crystal structure of Ni5Sb2Rh (PBE).

Lattice parameters (Å, degrees): 3.5631 18.3045 7.4046 90.00 90.00 90.00
Closest atoms and distances in Å follow each position.
Positions (direct):
Ni 0.7500 0.7030 0.1178  5 Ni 2.49-2.56, 2 Sb 2.59, 3 Rh 2.59-2.62
Ni 0.2500 0.2970 0.8822  5 Ni 2.49-2.56, 2 Sb 2.59, 3 Rh 2.59-2.62
Ni 0.7500 0.7022 0.6329  5 Ni 2.49-2.59, 3 Rh 2.61, 2 Sb 2.61
Ni 0.7500 0.9946 0.8739  4 Ni 2.57-2.59, 4 Sb 2.57-2.60
Sb 0.2500 0.0976 0.8639  7 Ni 2.53-2.61, 1 Rh 2.62
Ni 0.7500 0.7970 0.3737  6 Ni 2.52-2.59, 2 Sb 2.58-2.61, 2 Rh 2.59
Rh 0.7500 0.3053 0.6236  8 Ni 2.59-2.62, 2 Sb 2.60-2.62
Ni 0.7500 0.4946 0.6261  4 Ni 2.57-2.59, 4 Sb 2.57-2.60
Ni 0.2500 0.5054 0.3739  4 Ni 2.57-2.59, 4 Sb 2.57-2.60
Ni 0.2500 0.0054 0.1261  4 Ni 2.57-2.59, 4 Sb 2.57-2.60
Rh 0.2500 0.1947 0.1236  8 Ni 2.59-2.62, 2 Sb 2.60-2.62
Sb 0.2500 0.5976 0.6361  7 Ni 2.53-2.61, 1 Rh 2.62
Sb 0.2500 0.6006 0.1127  7 Ni 2.55-2.60, 1 Rh 2.60
Ni 0.7500 0.2030 0.3822  5 Ni 2.49-2.56, 2 Sb 2.59, 3 Rh 2.59-2.62
Ni 0.2500 0.7970 0.6178  5 Ni 2.49-2.56, 2 Sb 2.59, 3 Rh 2.59-2.62
Sb 0.7500 0.8994 0.6127  7 Ni 2.55-2.60, 1 Rh 2.60
Rh 0.2500 0.6947 0.3764  8 Ni 2.59-2.62, 2 Sb 2.60-2.62
Ni 0.2500 0.4996 0.8762  4 Sb 2.53-2.56, 4 Ni 2.56-2.57
Ni 0.7500 0.5004 0.1238  4 Sb 2.53-2.56, 4 Ni 2.56-2.57
Sb 0.2500 0.1006 0.3873  7 Ni 2.55-2.60, 1 Rh 2.60
Ni 0.7500 0.2022 0.8671  5 Ni 2.49-2.59, 3 Rh 2.61, 2 Sb 2.61
Ni 0.2500 0.2978 0.3671  5 Ni 2.49-2.59, 3 Rh 2.61, 2 Sb 2.61
Ni 0.7500 0.0004 0.3762  4 Sb 2.53-2.56, 4 Ni 2.56-2.57
Sb 0.7500 0.9024 0.1361  7 Ni 2.53-2.61, 1 Rh 2.62
Ni 0.2500 0.2030 0.6263  6 Ni 2.52-2.59, 2 Sb 2.58-2.61, 2 Rh 2.59
Ni 0.7500 0.2970 0.1263  6 Ni 2.52-2.59, 2 Sb 2.58-2.61, 2 Rh 2.59
Sb 0.7500 0.4024 0.3639  7 Ni 2.53-2.61, 1 Rh 2.62
Sb 0.7500 0.3994 0.8873  7 Ni 2.55-2.60, 1 Rh 2.60
Rh 0.7500 0.8053 0.8764  8 Ni 2.59-2.62, 2 Sb 2.60-2.62
Ni 0.2500 0.7030 0.8737  6 Ni 2.52-2.59, 2 Sb 2.58-2.61, 2 Rh 2.59
Ni 0.2500 0.9996 0.6238  4 Sb 2.53-2.56, 4 Ni 2.56-2.57
Ni 0.2500 0.7978 0.1329  5 Ni 2.49-2.59, 3 Rh 2.61, 2 Sb 2.61

Results
Electronic total energy: -5.5973 eV per atom
Total magnetization: 0.00 μB per cell
Formation energy (no corrections): -34 meV per atom

***

Entry from Alexandria: an optimized crystal structure of Ni5SbRh4 (PBE).

Lattice parameters (Å, degrees): 4.5803 6.3222 5.1616 104.10 91.13 69.81
Closest atoms and distances in Å follow each position.
Positions (direct):
Rh 0.7422 0.2740 0.8839  6 Ni 2.48-2.78, 1 Sb 2.54, 3 Rh 2.68-2.77
Rh 0.0618 0.8209 0.6316  7 Ni 2.55-2.79, 4 Rh 2.68-2.81
Rh 0.9382 0.1791 0.3684  7 Ni 2.55-2.79, 4 Rh 2.68-2.81
Ni 0.6388 0.6067 0.6662  3 Ni 2.39-2.52, 3 Rh 2.52-2.66, 1 Sb 2.53
Ni 0.5000 0.0000 0.5000  4 Ni 2.56-2.69, 6 Rh 2.58-2.79, 2 Sb 2.58
Ni 0.1695 0.4094 0.7688  4 Ni 2.39-2.65, 4 Rh 2.48-2.65
Ni 0.3612 0.3933 0.3338  3 Ni 2.39-2.52, 3 Rh 2.52-2.66, 1 Sb 2.53
Ni 0.8305 0.5906 0.2312  4 Ni 2.39-2.65, 4 Rh 2.48-2.65
Rh 0.2578 0.7260 0.1161  6 Ni 2.48-2.78, 1 Sb 2.54, 3 Rh 2.68-2.77
Sb 0.5000 0.0000 0.0000  4 Ni 2.53-2.58, 2 Rh 2.54

Results
Electronic total energy: -6.1687 eV per atom
Total magnetization: 3.64 μB per cell
Formation energy (no corrections): 75 meV per atom

***

Entry from Alexandria: an optimized crystal structure of NiSbRh2 (PBE).

Lattice parameters (Å, degrees): 8.3516 8.3516 8.3516 20.62 20.62 20.62
Closest atoms and distances in Å follow each position.
Positions (direct):
Sb 0.4972 0.4972 0.4972  3 Ni 2.61, 3 Rh 2.70
Rh 0.2487 0.2487 0.2487  3 Sb 2.70, 9 Rh 2.77-2.99
Rh 0.0036 0.0036 0.0036  3 Ni 2.62, 3 Rh 2.77
Ni 0.7505 0.7505 0.7505  3 Sb 2.61, 3 Rh 2.62

Results
Electronic total energy: -5.9020 eV per atom
Total magnetization: 1.54 μB per cell
Formation energy (no corrections): 250 meV per atom

***

Entry from Alexandria: an optimized crystal structure of NiSbRh2 (PBE).

Lattice parameters (Å, degrees): 4.0766 2.9648 5.2667 73.61 90.00 90.00
Closest atoms and distances in Å follow each position.
Positions (direct):
Rh 0.5000 0.2965 0.2837  1 Ni 2.55, 4 Sb 2.72
Rh 0.0000 0.9609 0.9526  4 Ni 2.67, 3 Sb 2.68-2.79, 2 Rh 2.96
Ni 0.5000 0.5467 0.7800  2 Sb 2.53, 5 Rh 2.55-2.67
Sb 0.0000 0.6960 0.4837  2 Ni 2.53, 7 Rh 2.68-2.79

Results
Electronic total energy: -6.1860 eV per atom
Total magnetization: 0.67 μB per cell
Formation energy (no corrections): -34 meV per atom

***

The highest electronic total energy belongs to which entry? NiSb8Rh2

***

formation energy (no corrections) of number 3 (Ni5Sb2Rh)? -34 meV per atom